1.
# CsUSb | Alexandria | PBE | relaxed
# M_tot = 6.5 Bohr magnetons per cell
# formation energy without anion corrections = 0.07 eV/atom
data_CsUSb
_cell_length_a 15.0577
_cell_length_b 4.6988
_cell_length_c 8.7489
_cell_angle_alpha 90.00
_cell_angle_beta 110.45
_cell_angle_gamma 90.00
_symmetry_space_group_name_H-M 'C 1 2/m 1'
_symmetry_Int_Tables_number 12
loop_
_symmetry_equiv_pos_as_xyz
'x,y,z'
'-x,-y,-z'
'-x,y,-z'
'x,-y,z'
'x+1/2,y+1/2,z'
'-x+1/2,-y+1/2,-z'
'-x+1/2,y+1/2,-z'
'x+1/2,-y+1/2,z'
loop_
_atom_site_label
_atom_site_type_symbol
_atom_site_fract_x
_atom_site_fract_y
_atom_site_fract_z
Cs1 Cs 0.0805 0.0000 0.3223
U1 U 0.2323 0.0000 0.9368
Sb1 Sb 0.1501 0.5000 0.7100


2.
# BaCe4Ag3S12 | Alexandria | PBE | relaxed
# M_tot = 0.0 Bohr magnetons per cell
# formation energy without anion corrections = -1.15 eV/atom
data_BaCe4Ag3S12
_cell_length_a 10.0465
_cell_length_b 10.0465
_cell_length_c 10.0465
_cell_angle_alpha 90.00
_cell_angle_beta 90.00
_cell_angle_gamma 90.00
_symmetry_space_group_name_H-M 'I m -3'
_symmetry_Int_Tables_number 204
_symmetry_space_group_name_Hall '-I 2 2 3'
loop_
_atom_site_label
_atom_site_type_symbol
_atom_site_fract_x
_atom_site_fract_y
_atom_site_fract_z
Ba1 Ba 0.0000 0.0000 0.0000
Ce1 Ce 0.2500 0.2500 0.2500
Ag1 Ag 0.0000 0.0000 0.5000
S1 S 0.0000 0.1617 0.3087


3.
# CePuSbPt | Alexandria | PBE | relaxed
# M_tot = 28.0 Bohr magnetons per cell
# formation energy without anion corrections = -0.70 eV/atom
data_CePuSbPt
_cell_length_a 7.3921
_cell_length_b 7.3921
_cell_length_c 7.3921
_cell_angle_alpha 90.00
_cell_angle_beta 90.00
_cell_angle_gamma 90.00
_symmetry_space_group_name_H-M 'F -4 3 m'
_symmetry_Int_Tables_number 216
_symmetry_space_group_name_Hall 'F -4 2 3'
loop_
_atom_site_label
_atom_site_type_symbol
_atom_site_fract_x
_atom_site_fract_y
_atom_site_fract_z
Ce1 Ce 0.0000 0.0000 0.0000
Pu1 Pu 0.0000 0.0000 0.5000
Sb1 Sb 0.2500 0.2500 0.2500
Pt1 Pt 0.2500 0.2500 0.7500


4.
# KSiTc | Alexandria | PBE | relaxed
# M_tot = 0.0 Bohr magnetons per cell
# formation energy without anion corrections = 0.23 eV/atom
data_KSiTc
_cell_length_a 3.0011
_cell_length_b 3.7112
_cell_length_c 12.3985
_cell_angle_alpha 90.00
_cell_angle_beta 90.00
_cell_angle_gamma 90.00
_symmetry_space_group_name_H-M 'I m m 2'
_symmetry_Int_Tables_number 44
loop_
_symmetry_equiv_pos_as_xyz
'x,y,z'
'-x,-y,z'
'-x,y,z'
'x,-y,z'
'x+1/2,y+1/2,z+1/2'
'-x+1/2,-y+1/2,z+1/2'
'-x+1/2,y+1/2,z+1/2'
'x+1/2,-y+1/2,z+1/2'
loop_
_atom_site_label
_atom_site_type_symbol
_atom_site_fract_x
_atom_site_fract_y
_atom_site_fract_z
K1 K 0.0000 0.0000 0.0000
Si1 Si 0.0000 0.0000 0.2608
Tc1 Tc 0.0000 0.0000 0.7325


5.
# IrPdI2 | Alexandria | PBE | relaxed
# M_tot = 0.0 Bohr magnetons per cell
# formation energy without anion corrections = 0.49 eV/atom
data_IrPdI2
_cell_length_a 6.2222
_cell_length_b 6.2222
_cell_length_c 11.7296
_cell_angle_alpha 90.00
_cell_angle_beta 90.00
_cell_angle_gamma 90.00
_symmetry_space_group_name_H-M 'I -4 2 d'
_symmetry_Int_Tables_number 122
_symmetry_space_group_name_Hall 'I -4 2bw'
loop_
_atom_site_label
_atom_site_type_symbol
_atom_site_fract_x
_atom_site_fract_y
_atom_site_fract_z
Ir1 Ir 0.0000 0.0000 0.0000
Pd1 Pd 0.0000 0.0000 0.5000
I1 I 0.2347 0.2500 0.1250


Which of these has the lowest formation energy without anion corrections? BaCe4Ag3S12


Which value of formation energy without anion corrections does entry 5 give? 0.49 eV/atom